Compound: ZrTl2Au
Source: Alexandria
Functional: SCAN
Structure: single point on PBEsol structure

Structure (POSCAR):
```
ZrTl2Au
1.0
-1.002 2.605 -1.679
0.211 -2.883 -1.501
-9.088 -1.930 2.429
Tl Zr Au
2 1 1
direct
0.000 0.000 0.239
0.000 0.000 0.761
0.500 0.500 0.500
0.500 0.500 0.000
```

Calculated values
Offset from the most stable computed form in meV/atom: 102
DOS at the Fermi energy in states/eV per cell: 1.70
Total moment in μB/atom: 0.000
E_tot in eV per atom: -61.123
Formation energy in eV per atom: 0.021
Symmetry: Cmmm (65)


Compound: TmAu3
Source: Alexandria
Functional: SCAN
Structure: single point on PBEsol structure

Structure (POSCAR):
```
TmAu3
1.0
-3.007 3.887 0.275
-1.644 -1.590 4.498
4.314 3.147 2.689
Au Tm
6 2
direct
0.500 0.838 0.245
0.000 0.665 0.500
0.000 0.162 0.745
0.000 0.162 0.255
0.500 0.335 0.000
0.500 0.838 0.755
0.000 0.656 0.000
0.500 0.344 0.500
```

Calculated values
DOS at the Fermi energy in states/eV per cell: 2.53
Total moment in μB/atom: 0.000
E_tot in eV per atom: -65.706
Formation energy in eV per atom: -0.880
Symmetry: Pmmn (59)


Compound: Tm2ZnAu
Source: Alexandria
Functional: SCAN
Structure: single point on PBEsol structure

Structure (POSCAR):
```
Tm2ZnAu
1.0
4.918 0.000 0.000
2.459 4.259 0.000
2.459 1.420 4.016
Tm Au Zn
2 1 1
direct
0.750 0.750 0.750
0.250 0.250 0.250
0.000 0.000 0.000
0.500 0.500 0.500
```

Calculated values
DOS at the Fermi energy in states/eV per cell: 2.37
Total moment in μB/atom: 0.000
E_tot in eV per atom: -47.390
Formation energy in eV per atom: -0.806
Symmetry: Fm-3m (225)


Compound: UAu2
Source: Alexandria
Functional: SCAN
Structure: single point on PBEsol structure

Structure (POSCAR):
```
UAu2
1.0
-0.124 2.470 1.555
-2.922 1.908 -3.264
-1.808 -2.421 3.701
Au U
2 1
direct
0.000 0.667 0.333
0.000 0.333 0.667
0.500 0.000 0.000
```

Calculated values
DOS at the Fermi energy in states/eV per cell: 4.92
Total moment in μB/atom: 0.765
E_tot in eV per atom: -80.945
Formation energy in eV per atom: -0.331
Symmetry: P6/mmm (191)


Compound: W3Au
Source: Alexandria
Functional: SCAN
Structure: single point on PBEsol structure

Structure (POSCAR):
```
W3Au
1.0
-1.849 -3.058 -1.736
2.903 -2.434 1.194
-1.983 -0.713 3.368
W Au
3 1
direct
0.500 0.500 0.000
0.000 0.500 0.500
0.500 0.000 0.500
0.000 0.000 0.000
```

Calculated values
Offset from the most stable computed form in meV/atom: 0
DOS at the Fermi energy in states/eV per cell: 2.31
Total moment in μB/atom: 0.000
E_tot in eV per atom: -69.287
Formation energy in eV per atom: 0.268
Symmetry: Pm-3m (221)


Compound: W3Au
Source: Alexandria
Functional: SCAN
Structure: single point on PBEsol structure

Structure (POSCAR):
```
W3Au
1.0
2.687 0.000 0.000
0.000 4.656 0.000
0.000 0.000 5.080
W Au
3 1
direct
0.500 0.500 0.820
0.500 0.000 0.517
0.000 0.500 0.322
0.000 0.000 0.007
```

Calculated values
Offset from the most stable computed form in meV/atom: 145
DOS at the Fermi energy in states/eV per cell: 2.66
Total moment in μB/atom: 0.000
E_tot in eV per atom: -69.143
Formation energy in eV per atom: 0.412
Symmetry: Pmm2 (25)


Compound: W3Au
Source: Alexandria
Functional: SCAN
Structure: single point on PBEsol structure

Structure (POSCAR):
```
W3Au
1.0
2.702 0.000 0.000
-1.351 4.685 -0.007
0.000 -0.633 5.026
W Au
3 1
direct
0.500 0.000 0.500
0.253 0.506 0.752
0.747 0.494 0.248
0.000 0.000 0.000
```

Calculated values
Offset from the most stable computed form in meV/atom: 124
DOS at the Fermi energy in states/eV per cell: 2.03
Total moment in μB/atom: 0.000
E_tot in eV per atom: -69.164
Formation energy in eV per atom: 0.391
Symmetry: C2/m (12)


Compound: W3Au
Source: Alexandria
Functional: SCAN
Structure: single point on PBEsol structure

Structure (POSCAR):
```
W3Au
1.0
-1.347 0.824 -2.185
-0.962 -4.822 -1.225
-2.772 2.153 4.183
W Au
3 1
direct
0.248 0.924 0.497
0.500 0.487 0.000
0.752 0.427 0.503
0.000 0.996 0.000
```

Calculated values
Offset from the most stable computed form in meV/atom: 123
DOS at the Fermi energy in states/eV per cell: 2.58
Total moment in μB/atom: 0.000
E_tot in eV per atom: -69.164
Formation energy in eV per atom: 0.391
Symmetry: Imm2 (44)


Compound: YWAu
Source: Alexandria
Functional: SCAN
Structure: single point on PBEsol structure

Structure (POSCAR):
```
YWAu
1.0
-2.427 3.871 -0.169
-3.597 0.565 2.765
0.219 2.987 3.453
W Y Au
1 1 1
direct
0.000 0.000 0.000
0.500 0.500 0.500
0.250 0.250 0.250
```

Calculated values
Offset from the most stable computed form in meV/atom: 0
DOS at the Fermi energy in states/eV per cell: 4.79
Total moment in μB/atom: 0.000
E_tot in eV per atom: -54.932
Formation energy in eV per atom: 0.631
Symmetry: F-43m (216)


Compound: Y4WAu
Source: Alexandria
Functional: SCAN
Structure: single point on PBEsol structure

Structure (POSCAR):
```
Y4WAu
1.0
5.835 0.000 0.000
2.917 5.053 0.000
2.917 1.684 4.764
Au W Y
1 1 4
direct
0.750 0.750 0.750
0.000 0.000 0.000
0.374 0.374 0.877
0.877 0.374 0.374
0.374 0.374 0.374
0.374 0.877 0.374
```

Calculated values
DOS at the Fermi energy in states/eV per cell: 7.61
Total moment in μB/atom: 0.000
E_tot in eV per atom: -40.818
Formation energy in eV per atom: 0.885
Symmetry: F-43m (216)


Compound: ZnW2Au
Source: Alexandria
Functional: SCAN
Structure: single point on PBEsol structure

Structure (POSCAR):
```
ZnW2Au
1.0
2.689 -0.271 0.293
1.110 2.464 0.293
2.223 1.284 9.319
Au Zn W
1 1 2
direct
0.236 0.236 0.257
0.415 0.415 0.501
0.779 0.779 0.747
0.069 0.069 0.995
```

Calculated values
DOS at the Fermi energy in states/eV per cell: 2.16
Total moment in μB/atom: 0.000
E_tot in eV per atom: -55.359
Formation energy in eV per atom: 0.153
Symmetry: Cm (8)


Compound: ZnW2Au
Source: Alexandria
Functional: SCAN
Structure: single point on PBEsol structure

Structure (POSCAR):
```
ZnW2Au
1.0
2.707 0.038 0.061
-0.081 5.036 0.015
-0.081 -2.270 4.495
W Zn Au
2 1 1
direct
0.000 0.000 0.500
0.000 0.500 0.000
0.500 0.500 0.500
0.500 0.000 0.000
```

Calculated values
DOS at the Fermi energy in states/eV per cell: 1.31
Total moment in μB/atom: 0.000
E_tot in eV per atom: -55.179
Formation energy in eV per atom: 0.333
Symmetry: C2/m (12)


Compound: ZnW2Au
Source: Alexandria
Functional: SCAN
Structure: single point on PBEsol structure

Structure (POSCAR):
```
ZnW2Au
1.0
2.702 0.000 0.000
0.000 2.702 0.000
0.000 0.000 8.371
W Au Zn
2 1 1
direct
0.000 0.000 0.241
0.000 0.000 0.759
0.500 0.500 0.500
0.500 0.500 0.000
```

Calculated values
DOS at the Fermi energy in states/eV per cell: 2.06
Total moment in μB/atom: 0.000
E_tot in eV per atom: -55.142
Formation energy in eV per atom: 0.370
Symmetry: P4/mmm (123)


Compound: Zn2WAu
Source: Alexandria
Functional: SCAN
Structure: single point on PBEsol structure

Structure (POSCAR):
```
Zn2WAu
1.0
4.375 0.000 0.000
-2.187 3.767 0.362
0.000 2.175 3.796
Zn Au W
2 1 1
direct
0.750 0.500 0.750
0.250 0.500 0.250
0.500 0.000 0.500
0.000 0.000 0.000
```

Calculated values
Offset from the most stable computed form in meV/atom: 195
DOS at the Fermi energy in states/eV per cell: 2.45
Total moment in μB/atom: 0.410
E_tot in eV per atom: -41.007
Formation energy in eV per atom: 0.461
Symmetry: I4/mmm (139)


Compound: Zn2WAu
Source: Alexandria
Functional: SCAN
Structure: single point on PBEsol structure

Structure (POSCAR):
```
Zn2WAu
1.0
-2.507 -0.101 -1.062
0.113 -3.100 3.525
-1.227 4.222 2.498
Zn Au W
2 1 1
direct
0.748 0.496 0.766
0.252 0.504 0.234
0.000 0.000 0.500
0.500 0.000 0.000
```

Calculated values
Offset from the most stable computed form in meV/atom: 0
DOS at the Fermi energy in states/eV per cell: 2.78
Total moment in μB/atom: 0.000
E_tot in eV per atom: -41.202
Formation energy in eV per atom: 0.267
Symmetry: C2/m (12)


Compound: ZrW2Au
Source: Alexandria
Functional: SCAN
Structure: single point on PBEsol structure

Structure (POSCAR):
```
ZrW2Au
1.0
-0.413 -1.841 -2.846
0.019 -3.679 2.378
-4.535 0.284 0.475
W Zr Au
2 1 1
direct
0.000 0.000 0.000
0.500 0.500 0.000
0.500 0.000 0.500
0.000 0.500 0.500
```

Calculated values
Offset from the most stable computed form in meV/atom: 0
DOS at the Fermi energy in states/eV per cell: 2.63
Total moment in μB/atom: 0.000
E_tot in eV per atom: -59.754
Formation energy in eV per atom: 0.054
Symmetry: Pmmm (47)


Compound: ZrWAu2
Source: Alexandria
Functional: SCAN
Structure: single point on PBEsol structure

Structure (POSCAR):
```
ZrWAu2
1.0
-2.840 0.434 -0.134
-0.325 -1.342 2.523
0.920 7.251 3.976
Au Zr W
2 1 1
direct
0.000 0.000 0.762
0.000 0.000 0.238
0.500 0.500 0.500
0.500 0.500 0.000
```

Calculated values
Offset from the most stable computed form in meV/atom: 0
DOS at the Fermi energy in states/eV per cell: 3.52
Total moment in μB/atom: 0.000
E_tot in eV per atom: -59.715
Formation energy in eV per atom: -0.040
Symmetry: P4/mmm (123)


Compound: ZrWAu2
Source: Alexandria
Functional: SCAN
Structure: single point on PBEsol structure

Structure (POSCAR):
```
ZrWAu2
1.0
4.063 0.000 0.000
0.000 4.063 0.000
-2.032 -2.032 4.232
W Au Zr
1 2 1
direct
0.500 0.500 0.000
0.000 0.000 0.000
0.750 0.250 0.500
0.250 0.750 0.500
```

Calculated values
Offset from the most stable computed form in meV/atom: 55
DOS at the Fermi energy in states/eV per cell: 2.68
Total moment in μB/atom: 0.434
E_tot in eV per atom: -59.660
Formation energy in eV per atom: 0.016
Symmetry: I-4m2 (119)


Compound: ZrW2Au
Source: Alexandria
Functional: SCAN
Structure: single point on PBEsol structure

Structure (POSCAR):
```
ZrW2Au
1.0
4.593 0.000 0.000
2.296 3.978 0.000
2.296 1.326 3.750
W Au Zr
2 1 1
direct
0.000 0.000 0.000
0.750 0.750 0.750
0.500 0.500 0.500
0.250 0.250 0.250
```

Calculated values
Offset from the most stable computed form in meV/atom: 77
DOS at the Fermi energy in states/eV per cell: 3.51
Total moment in μB/atom: 0.000
E_tot in eV per atom: -59.677
Formation energy in eV per atom: 0.131
Symmetry: F-43m (216)


Compound: ZrW2Au
Source: Alexandria
Functional: SCAN
Structure: single point on PBEsol structure

Structure (POSCAR):
```
ZrW2Au
1.0
3.415 0.000 0.000
0.000 3.415 0.000
0.000 0.000 5.880
W Au Zr
2 1 1
direct
0.000 0.000 0.263
0.000 0.000 0.737
0.500 0.500 0.500
0.500 0.500 0.000
```

Calculated values
Offset from the most stable computed form in meV/atom: 325
DOS at the Fermi energy in states/eV per cell: 2.61
Total moment in μB/atom: 0.000
E_tot in eV per atom: -59.429
Formation energy in eV per atom: 0.379
Symmetry: P4/mmm (123)


Compound: ZrWAu
Source: Alexandria
Functional: SCAN
Structure: single point on PBEsol structure

Structure (POSCAR):
```
ZrWAu
1.0
4.489 0.000 0.000
2.244 3.887 0.000
2.244 1.296 3.665
Au Zr W
1 1 1
direct
0.000 0.000 0.000
0.250 0.250 0.250
0.500 0.500 0.500
```

Calculated values
DOS at the Fermi energy in states/eV per cell: 1.70
Total moment in μB/atom: 0.976
E_tot in eV per atom: -55.489
Formation energy in eV per atom: 1.026
Symmetry: F-43m (216)


Compound: Y5Au3
Source: Alexandria
Functional: SCAN
Structure: single point on PBEsol structure

Structure (POSCAR):
```
Y5Au3
1.0
6.177 0.000 0.000
0.000 8.568 0.000
0.000 -4.284 7.420
Y Au
10 6
direct
0.750 0.756 0.000
0.500 0.667 0.333
0.750 0.000 0.756
0.000 0.667 0.333
0.250 0.000 0.244
0.250 0.756 0.756
0.000 0.333 0.667
0.750 0.244 0.244
0.250 0.244 0.000
0.500 0.333 0.667
0.750 0.602 0.602
0.750 0.398 0.000
0.250 0.602 0.000
0.250 0.398 0.398
0.250 0.000 0.602
0.750 0.000 0.398
```

Calculated values
Offset from the most stable computed form in meV/atom: 0
DOS at the Fermi energy in states/eV per cell: 19.45
Total moment in μB/atom: 0.000
E_tot in eV per atom: -44.227
Formation energy in eV per atom: -0.892
Symmetry: P6_3/mcm (193)


Compound: YAu5
Source: Alexandria
Functional: SCAN
Structure: single point on PBEsol structure

Structure (POSCAR):
```
YAu5
1.0
3.605 0.000 0.000
0.000 3.605 0.000
0.000 0.000 8.625
Au Y
5 1
direct
0.500 0.500 0.161
0.000 0.000 0.679
0.500 0.500 0.839
0.000 0.000 0.000
0.000 0.000 0.321
0.500 0.500 0.500
```

Calculated values
DOS at the Fermi energy in states/eV per cell: 2.08
Total moment in μB/atom: 0.000
E_tot in eV per atom: -62.781
Formation energy in eV per atom: -0.509
Symmetry: P4/mmm (123)


Compound: Y5Au3
Source: Alexandria
Functional: SCAN
Structure: single point on PBEsol structure

Structure (POSCAR):
```
Y5Au3
1.0
-3.705 1.912 4.453
0.758 -4.990 6.950
3.969 5.730 5.019
Y Au
10 6
direct
0.790 0.128 0.292
0.582 0.128 0.708
0.210 0.872 0.708
0.082 0.708 0.128
0.250 0.500 0.500
0.710 0.708 0.872
0.290 0.292 0.128
0.418 0.872 0.292
0.750 0.500 0.500
0.918 0.292 0.872
0.250 0.000 0.000
0.341 0.500 0.818
0.750 0.000 0.000
0.841 0.818 0.500
0.159 0.182 0.500
0.659 0.500 0.182
```

Calculated values
Offset from the most stable computed form in meV/atom: 24
DOS at the Fermi energy in states/eV per cell: 16.48
Total moment in μB/atom: 0.000
E_tot in eV per atom: -44.203
Formation energy in eV per atom: -0.867
Symmetry: I4/mcm (140)


Compound: Y3Au
Source: Alexandria
Functional: SCAN
Structure: single point on PBEsol structure

Structure (POSCAR):
```
Y3Au
1.0
-1.883 -0.325 4.057
-1.785 -3.951 -1.145
5.887 -0.185 0.239
Y Au
3 1
direct
0.250 0.750 0.500
0.750 0.250 0.500
0.500 0.500 0.000
0.000 0.000 0.000
```

Calculated values
DOS at the Fermi energy in states/eV per cell: 5.06
Total moment in μB/atom: 0.000
E_tot in eV per atom: -38.495
Formation energy in eV per atom: -0.324
Symmetry: I4/mmm (139)


Compound: Y4Au
Source: Alexandria
Functional: SCAN
Structure: single point on PBEsol structure

Structure (POSCAR):
```
Y4Au
1.0
-1.705 -1.622 3.244
-2.349 -2.238 -2.353
8.248 -4.605 -0.442
Y Au
4 1
direct
0.416 0.416 0.833
0.750 0.250 0.500
0.584 0.584 0.167
0.250 0.750 0.500
0.000 0.000 0.000
```

Calculated values
DOS at the Fermi energy in states/eV per cell: 4.17
Total moment in μB/atom: 0.000
E_tot in eV per atom: -35.943
Formation energy in eV per atom: 0.163
Symmetry: I4/mmm (139)


Compound: Y3Au
Source: Alexandria
Functional: SCAN
Structure: single point on PBEsol structure

Structure (POSCAR):
```
Y3Au
1.0
-3.532 2.991 -4.670
-5.792 -2.363 2.868
-0.522 7.907 5.459
Y Au
12 4
direct
0.193 0.195 0.055
0.807 0.805 0.555
0.118 0.486 0.750
0.193 0.195 0.445
0.693 0.305 0.555
0.307 0.695 0.055
0.618 0.014 0.250
0.807 0.805 0.945
0.307 0.695 0.445
0.382 0.986 0.750
0.882 0.514 0.250
0.693 0.305 0.945
0.459 0.411 0.250
0.959 0.089 0.750
0.541 0.589 0.750
0.041 0.911 0.250
```

Calculated values
DOS at the Fermi energy in states/eV per cell: 12.65
Total moment in μB/atom: 0.000
E_tot in eV per atom: -38.822
Formation energy in eV per atom: -0.650
Symmetry: Pnma (62)


Compound: Y3Au
Source: Alexandria
Functional: SCAN
Structure: single point on PBEsol structure

Structure (POSCAR):
```
Y3Au
1.0
4.640 0.000 0.000
0.000 4.640 0.000
0.000 0.000 4.640
Y Au
3 1
direct
0.500 0.500 0.000
0.000 0.500 0.500
0.500 0.000 0.500
0.000 0.000 0.000
```

Calculated values
DOS at the Fermi energy in states/eV per cell: 4.41
Total moment in μB/atom: 0.000
E_tot in eV per atom: -38.552
Formation energy in eV per atom: -0.381
Symmetry: Pm-3m (221)